No. 1
# Re2SiP

Crystalline Re2SiP at its relaxed geometry (PBE, the Alexandria database).

POSCAR file:
```
Re2SiP
1.0
2.868 0.000 0.000
0.000 4.999 0.023
0.000 3.345 3.861
P Re Si
1 2 1
direct
0.000 0.000 0.500
0.000 0.000 0.000
0.500 0.500 0.000
0.500 0.500 0.500
```

crystal system = monoclinic
DOS at the Fermi energy = 0.631 states/eV/atom
offset from the most stable computed form = 246.4 meV per atom
magnetization = 0.00 μB/cell
formation energy (no corrections) = 0.779 kcal/mol of atoms
uncorrected energy = -8.8985 eV/atom

No. 2
# Ba2Cd3Hg4

Crystalline Ba2Cd3Hg4 at its relaxed geometry (PBE, the Alexandria database).

POSCAR file:
```
Ba2Cd3Hg4
1.0
-2.266 2.692 -4.994
-6.053 0.727 -0.597
-0.622 8.634 1.200
Ba Cd Hg
2 3 4
direct
0.639 0.000 0.721
0.361 0.000 0.279
0.000 0.500 0.000
0.000 0.000 0.000
0.500 0.500 0.000
0.994 0.672 0.340
0.666 0.328 0.340
0.006 0.328 0.660
0.334 0.672 0.660
```

crystal system = orthorhombic
DOS at the Fermi energy = 0.568 states/eV/atom
ΔH_f (0 K) = -0.3535 eV/atom
magnetization = 0.00 μB/cell
uncorrected energy = -1.2200 eV/atom

No. 3
# B2HPt4

Crystalline B2HPt4 at its relaxed geometry (PBE, the Alexandria database).

POSCAR file:
```
B2HPt4
1.0
3.364 0.000 0.000
0.000 4.400 -3.899
0.000 -1.611 7.073
B H Pt
2 1 4
direct
0.033 0.500 0.500
0.539 0.000 0.500
0.791 0.000 0.000
0.527 0.087 0.260
0.527 0.913 0.740
0.042 0.410 0.748
0.042 0.590 0.252
```

crystal system = monoclinic
DOS at the Fermi energy = 0.237 states/eV/atom
magnetization = 0.00 μB/cell
uncorrected energy = -5.9494 eV/atom